No. 1
DFT (GGA-PBE) results for a relaxed TmZr2Sc crystal.

ΔE_f ... 158 meV per atom
ΔE to the lowest computed polymorph ... 106 meV per atom

Cell and atoms, written as CIF:
```
data_TmZr2Sc
_cell_length_a 3.7600
_cell_length_b 3.7600
_cell_length_c 6.9861
_cell_angle_alpha 90.00
_cell_angle_beta 90.00
_cell_angle_gamma 90.00
_symmetry_space_group_name_H-M 'P 4/m m m'
_symmetry_Int_Tables_number 123
_symmetry_space_group_name_Hall '-P 4 2'
loop_
_atom_site_label
_atom_site_type_symbol
_atom_site_fract_x
_atom_site_fract_y
_atom_site_fract_z
Tm1 Tm 0.0000 0.0000 0.0000
Zr1 Zr 0.5000 0.5000 0.2799
Sc1 Sc 0.0000 0.0000 0.5000
```


No. 2
DFT (GGA-PBE) results for a relaxed VCu2Pd5 crystal.

ΔE_f ... -152 meV per atom
ΔE to the lowest computed polymorph ... 0 meV per atom

Cell and atoms, written as CIF:
```
data_VCu2Pd5
_cell_length_a 5.4132
_cell_length_b 10.7739
_cell_length_c 3.9487
_cell_angle_alpha 90.00
_cell_angle_beta 90.00
_cell_angle_gamma 90.00
_symmetry_space_group_name_H-M 'P b a m'
_symmetry_Int_Tables_number 55
loop_
_symmetry_equiv_pos_as_xyz
'x,y,z'
'-x,-y,-z'
'-x,-y,z'
'x,y,-z'
'x+1/2,-y+1/2,-z'
'-x+1/2,y+1/2,z'
'-x+1/2,y+1/2,-z'
'x+1/2,-y+1/2,z'
loop_
_atom_site_label
_atom_site_type_symbol
_atom_site_fract_x
_atom_site_fract_y
_atom_site_fract_z
V1 V 0.0000 0.0000 0.0000
Cu1 Cu 0.2195 0.3703 0.5000
Pd1 Pd 0.0000 0.5000 0.0000
Pd2 Pd 0.0386 0.7609 0.0000
Pd3 Pd 0.2189 0.1150 0.5000
```


No. 3
DFT (GGA-PBE) results for a relaxed Cr2IrSe crystal.

E_tot ... -7.650 eV/atom

Cell and atoms, written as CIF:
```
data_Cr2IrSe
_cell_length_a 2.8239
_cell_length_b 2.8239
_cell_length_c 25.0549
_cell_angle_alpha 90.00
_cell_angle_beta 90.00
_cell_angle_gamma 120.00
_symmetry_space_group_name_H-M 'R 3 m'
_symmetry_Int_Tables_number 160
_symmetry_space_group_name_Hall 'R 3 -2"'
loop_
_atom_site_label
_atom_site_type_symbol
_atom_site_fract_x
_atom_site_fract_y
_atom_site_fract_z
Cr1 Cr 0.0000 0.0000 0.0000
Cr2 Cr 0.0000 0.0000 0.2535
Ir1 Ir 0.0000 0.0000 0.5105
Se1 Se 0.0000 0.0000 0.7365
```


No. 4
DFT (GGA-PBE) results for a relaxed CrHg2Br crystal.

ΔE to the lowest computed polymorph ... 33 meV per atom

Cell and atoms, written as CIF:
```
data_CrHg2Br
_cell_length_a 10.1888
_cell_length_b 3.6763
_cell_length_c 6.6467
_cell_angle_alpha 90.00
_cell_angle_beta 109.31
_cell_angle_gamma 90.00
_symmetry_space_group_name_H-M 'C 1 m 1'
_symmetry_Int_Tables_number 8
loop_
_symmetry_equiv_pos_as_xyz
'x,y,z'
'x,-y,z'
'x+1/2,y+1/2,z'
'x+1/2,-y+1/2,z'
loop_
_atom_site_label
_atom_site_type_symbol
_atom_site_fract_x
_atom_site_fract_y
_atom_site_fract_z
Cr1 Cr 0.0000 0.0000 0.0000
Hg1 Hg 0.0009 0.5000 0.3252
Hg2 Hg 0.2405 0.5000 0.1143
Br1 Br 0.3962 0.0000 0.7080
```


No. 5
DFT (GGA-PBE) results for a relaxed La4RuBr2Cl crystal.

E_tot ... -5.440 eV/atom

Cell and atoms, written as CIF:
```
data_La4RuBr2Cl
_cell_length_a 7.4376
_cell_length_b 4.1114
_cell_length_c 7.9695
_cell_angle_alpha 90.00
_cell_angle_beta 107.00
_cell_angle_gamma 90.00
_symmetry_space_group_name_H-M 'P 1 2/m 1'
_symmetry_Int_Tables_number 10
loop_
_symmetry_equiv_pos_as_xyz
'x,y,z'
'-x,-y,-z'
'-x,y,-z'
'x,-y,z'
loop_
_atom_site_label
_atom_site_type_symbol
_atom_site_fract_x
_atom_site_fract_y
_atom_site_fract_z
La1 La 0.2161 0.0000 0.2061
La2 La 0.2512 0.5000 0.7849
Ru1 Ru 0.0000 0.5000 0.0000
Br1 Br 0.0000 0.0000 0.5000
Br2 Br 0.5000 0.5000 0.5000
Cl1 Cl 0.5000 0.0000 0.0000
```


No. 6
DFT (GGA-PBE) results for a relaxed YIn2Ag crystal.

ΔE_f ... -273 meV per atom

Cell and atoms, written as CIF:
```
data_YIn2Ag
_cell_length_a 3.3730
_cell_length_b 4.8110
_cell_length_c 6.0730
_cell_angle_alpha 90.00
_cell_angle_beta 92.51
_cell_angle_gamma 90.00
_symmetry_space_group_name_H-M 'P 1 2/m 1'
_symmetry_Int_Tables_number 10
loop_
_symmetry_equiv_pos_as_xyz
'x,y,z'
'-x,-y,-z'
'-x,y,-z'
'x,-y,z'
loop_
_atom_site_label
_atom_site_type_symbol
_atom_site_fract_x
_atom_site_fract_y
_atom_site_fract_z
Y1 Y 0.0000 0.0000 0.0000
In1 In 0.4695 0.5000 0.7503
Ag1 Ag 0.5000 0.0000 0.5000
```


No. 7
DFT (GGA-PBE) results for a relaxed ZrTiCoRu crystal.

ΔE_f ... -450 meV per atom

Cell and atoms, written as CIF:
```
data_ZrTiCoRu
_cell_length_a 6.2938
_cell_length_b 6.2938
_cell_length_c 6.2938
_cell_angle_alpha 90.00
_cell_angle_beta 90.00
_cell_angle_gamma 90.00
_symmetry_space_group_name_H-M 'F -4 3 m'
_symmetry_Int_Tables_number 216
_symmetry_space_group_name_Hall 'F -4 2 3'
loop_
_atom_site_label
_atom_site_type_symbol
_atom_site_fract_x
_atom_site_fract_y
_atom_site_fract_z
Zr1 Zr 0.0000 0.0000 0.0000
Ti1 Ti 0.0000 0.0000 0.5000
Co1 Co 0.2500 0.2500 0.7500
Ru1 Ru 0.2500 0.2500 0.2500
```


No. 8
DFT (GGA-PBE) results for a relaxed Nb2NiPPb crystal.

ΔE_f ... 1903 meV per atom

Cell and atoms, written as CIF:
```
data_Nb2NiPPb
_cell_length_a 5.2172
_cell_length_b 5.2172
_cell_length_c 4.5354
_cell_angle_alpha 90.00
_cell_angle_beta 90.00
_cell_angle_gamma 90.00
_symmetry_space_group_name_H-M 'P 4/m m m'
_symmetry_Int_Tables_number 123
_symmetry_space_group_name_Hall '-P 4 2'
loop_
_atom_site_label
_atom_site_type_symbol
_atom_site_fract_x
_atom_site_fract_y
_atom_site_fract_z
Nb1 Nb 0.0000 0.5000 0.0000
Ni1 Ni 0.0000 0.0000 0.5000
P1 P 0.5000 0.5000 0.5000
Pb1 Pb 0.0000 0.0000 0.0000
```


No. 9
DFT (GGA-PBE) results for a relaxed LuPuCd2 crystal.

ΔE_f ... -91 meV per atom
ΔE to the lowest computed polymorph ... 8 meV per atom

Cell and atoms, written as CIF:
```
data_LuPuCd2
_cell_length_a 7.4644
_cell_length_b 7.4644
_cell_length_c 7.4644
_cell_angle_alpha 90.00
_cell_angle_beta 90.00
_cell_angle_gamma 90.00
_symmetry_space_group_name_H-M 'F m -3 m'
_symmetry_Int_Tables_number 225
_symmetry_space_group_name_Hall '-F 4 2 3'
loop_
_atom_site_label
_atom_site_type_symbol
_atom_site_fract_x
_atom_site_fract_y
_atom_site_fract_z
Lu1 Lu 0.0000 0.0000 0.0000
Pu1 Pu 0.0000 0.0000 0.5000
Cd1 Cd 0.2500 0.2500 0.2500
```


No. 10
DFT (GGA-PBE) results for a relaxed Ho4ScRu5 crystal.

ΔE_f ... -378 meV per atom

Cell and atoms, written as CIF:
```
data_Ho4ScRu5
_cell_length_a 3.3519
_cell_length_b 3.3519
_cell_length_c 16.7383
_cell_angle_alpha 90.00
_cell_angle_beta 90.00
_cell_angle_gamma 90.00
_symmetry_space_group_name_H-M 'P 4/m m m'
_symmetry_Int_Tables_number 123
_symmetry_space_group_name_Hall '-P 4 2'
loop_
_atom_site_label
_atom_site_type_symbol
_atom_site_fract_x
_atom_site_fract_y
_atom_site_fract_z
Ho1 Ho 0.0000 0.0000 0.1016
Ho2 Ho 0.0000 0.0000 0.3049
Sc1 Sc 0.0000 0.0000 0.5000
Ru1 Ru 0.5000 0.5000 0.0000
Ru2 Ru 0.5000 0.5000 0.2037
Ru3 Ru 0.5000 0.5000 0.4077
```


No. 11
DFT (GGA-PBE) results for a relaxed BeTe2Mo crystal.

E_tot ... -4.699 eV/atom

Cell and atoms, written as CIF:
```
data_BeTe2Mo
_cell_length_a 3.7064
_cell_length_b 4.8681
_cell_length_c 8.4225
_cell_angle_alpha 90.00
_cell_angle_beta 90.00
_cell_angle_gamma 90.00
_symmetry_space_group_name_H-M 'I m m m'
_symmetry_Int_Tables_number 71
_symmetry_space_group_name_Hall '-I 2 2'
loop_
_atom_site_label
_atom_site_type_symbol
_atom_site_fract_x
_atom_site_fract_y
_atom_site_fract_z
Be1 Be 0.0000 0.0000 0.0000
Te1 Te 0.0000 0.5000 0.3040
Mo1 Mo 0.0000 0.0000 0.5000
```


No. 12
DFT (GGA-PBE) results for a relaxed K4ScCd crystal.

ΔE_f ... 578 meV per atom

Cell and atoms, written as CIF:
```
data_K4ScCd
_cell_length_a 10.6526
_cell_length_b 10.6526
_cell_length_c 10.6526
_cell_angle_alpha 90.00
_cell_angle_beta 90.00
_cell_angle_gamma 90.00
_symmetry_space_group_name_H-M 'F -4 3 m'
_symmetry_Int_Tables_number 216
_symmetry_space_group_name_Hall 'F -4 2 3'
loop_
_atom_site_label
_atom_site_type_symbol
_atom_site_fract_x
_atom_site_fract_y
_atom_site_fract_z
K1 K 0.1252 0.1252 0.1252
Sc1 Sc 0.2500 0.2500 0.7500
Cd1 Cd 0.0000 0.0000 0.5000
```